(1)
LiGaF3 | PBE | relaxed

a = 3.725 Å, b = 3.725 Å, c = 3.725 Å
α = 90.00°, β = 90.00°, γ = 90.00°
Sites, in units of the cell vectors:
F 0.000 0.000 0.500
F 0.500 0.000 0.000
F 0.000 0.500 0.000
Ga 0.500 0.500 0.500
Li 0.000 0.000 0.000

Results
**Magnetic moment**: 0.00 μB per cell
**Calculated total energy**: -20.64 eV for the cell shown
**DOS at the Fermi energy**: 2.01 states/eV/cell
**Space-group type**: Pm-3m, No. 221

=====

(2)
Li3GaF | PBE | relaxed

a = 4.068 Å, b = 4.068 Å, c = 4.068 Å
α = 90.00°, β = 90.00°, γ = 90.00°
Sites, in units of the cell vectors:
Li 0.000 0.500 0.000
Li 0.000 0.000 0.500
Li 0.500 0.000 0.000
F 0.000 0.000 0.000
Ga 0.500 0.500 0.500

Results
**Magnetic moment**: 0.00 μB per cell
**Calculated total energy**: -16.50 eV for the cell shown
**DOS at the Fermi energy**: 1.25 states/eV/cell
**Space-group type**: Pm-3m, No. 221

=====

(3)
LiGaF3 | PBE | relaxed

a = 4.171 Å, b = 4.171 Å, c = 4.171 Å
α = 90.00°, β = 90.00°, γ = 90.00°
Sites, in units of the cell vectors:
F 0.000 0.000 0.500
F 0.000 0.500 0.000
F 0.500 0.000 0.000
Ga 0.000 0.000 0.000
Li 0.500 0.500 0.500

Results
**Magnetic moment**: 0.00 μB per cell
**Calculated total energy**: -21.32 eV for the cell shown
**DOS at the Fermi energy**: 0.72 states/eV/cell
**Space-group type**: Pm-3m, No. 221

=====

(4)
Li2GaF4 | PBE | relaxed

a = 4.552 Å, b = 4.552 Å, c = 5.799 Å
α = 113.11°, β = 113.11°, γ = 90.00°
Site moments in Bohr magnetons follow the coordinates.
Sites, in units of the cell vectors:
Li 0.750 0.250 0.500  0.00
Li 0.250 0.750 0.500  0.00
F 0.131 0.131 0.717  0.04
F 0.413 0.869 0.283  0.04
F 0.869 0.413 0.283  0.04
F 0.587 0.587 0.717  0.04
Ga 0.500 0.500 0.000  0.15

Results
**Magnetic moment**: 0.40 μB per cell
**Calculated total energy**: -31.57 eV for the cell shown
**DOS at the Fermi energy**: 2.71 states/eV/cell
**Space-group type**: I-42m, No. 121

=====

Table of formation energy from raw total energies (kJ/mol of formula units), in record order: -973, -566, -1038, -1662